## SbP2Se (PBE)

Data for a relaxed structure of SbP2Se.

Lattice parameters (Å, degrees): 3.9409 3.9409 8.6218 90.00 90.00 129.68
Sites, in units of the cell vectors:
P1 0.0000 0.0000 0.0209
P2 0.5000 0.5000 0.2123
Sb1 0.0000 0.0000 0.4333
Se1 0.5000 0.5000 0.8336

excess energy over the best structure of this formula in the dataset = 0.272 eV per atom
DFT total energy = -4.199 eV/atom

## SbP2Se (PBE)

Data for a relaxed structure of SbP2Se.

Lattice parameters (Å, degrees): 7.5599 7.5599 7.5599 151.95 151.95 40.09
Sites, in units of the cell vectors:
P1 0.0000 0.0000 0.0000
P2 0.2500 0.7500 0.5000
Sb1 0.5000 0.5000 0.0000
Se1 0.7500 0.2500 0.5000

excess energy over the best structure of this formula in the dataset = 0.443 eV per atom
DFT total energy = -4.028 eV/atom

## SbP2Se (PBE)

Data for a relaxed structure of SbP2Se.

Lattice parameters (Å, degrees): 4.7556 4.7556 4.7556 60.00 60.00 60.00
Sites, in units of the cell vectors:
Sb1 0.5000 0.5000 0.5000
Se1 0.0000 0.0000 0.0000
P1 0.2500 0.2500 0.2500
P2 0.7500 0.7500 0.7500

excess energy over the best structure of this formula in the dataset = 0.476 eV per atom
DFT total energy = -3.996 eV/atom

## SbP2Se (PBE)

Data for a relaxed structure of SbP2Se.

Lattice parameters (Å, degrees): 9.0304 9.0304 9.0304 159.48 155.16 32.43
Sites, in units of the cell vectors:
P1 0.9268 0.9268 0.0000
P2 0.8472 0.3472 0.5000
Sb1 0.5603 0.5603 0.0000
Se1 0.1657 0.6657 0.5000

excess energy over the best structure of this formula in the dataset = 0.026 eV per atom
DFT total energy = -4.445 eV/atom

## SbPSe2 (PBE)

Data for a relaxed structure of SbPSe2.

Lattice parameters (Å, degrees): 6.8471 6.8471 6.8471 147.40 141.68 51.17
Sites, in units of the cell vectors:
Sb1 0.5000 0.0000 0.5000
P1 0.0000 0.5000 0.5000
Se1 0.8491 0.8491 0.0000
Se2 0.1509 0.1509 0.0000

excess energy over the best structure of this formula in the dataset = 0.227 eV per atom
DFT total energy = -3.897 eV/atom

## SbP2Se6 (PBE)

Data for a relaxed structure of SbP2Se6.

Lattice parameters (Å, degrees): 7.5208 8.8414 8.8414 83.06 74.46 74.46
Sites, in units of the cell vectors:
Sb1 0.2500 0.1207 0.8793
Sb2 0.7500 0.8793 0.1207
P1 0.2544 0.6196 0.8028
P2 0.2456 0.1972 0.3804
P3 0.7456 0.3804 0.1972
P4 0.7544 0.8028 0.6196
Se1 0.5620 0.6338 0.6397
Se2 0.9380 0.3603 0.3662
Se3 0.4380 0.3662 0.3603
Se4 0.0620 0.6397 0.6338
Se5 0.7920 0.9641 0.4068
Se6 0.7080 0.5932 0.0359
Se7 0.2080 0.0359 0.5932
Se8 0.2920 0.4068 0.9641
Se9 0.1636 0.8069 0.9787
Se10 0.3364 0.0213 0.1931
Se11 0.8364 0.1931 0.0213
Se12 0.6636 0.9787 0.8069

DFT total energy = -3.948 eV/atom

Mass density for every record listed, in sequence, given in g/cm³: 4.233, 4.573, 5.735, 4.026, 4.836, 4.007.